1.
A plane-wave DFT calculation with GGA-PBE was carried out for a relaxed structure of SrNp4O12.

Values from the calculation:
As for the symmetry: No. 71. For the total energy, the calculation gives -9.527 eV/atom. For the spin magnetization, the calculation gives 6.00 μB/f.u. As for the uncorrected formation energy: -2883 meV per atom. The calculation puts the density of states at the Fermi level at 11.34 states/eV/cell.

```
SrNp4O12
1.0
-4.170 4.188 4.190
4.170 -4.188 4.190
4.170 4.188 -4.190
Sr Np O
1 4 12
Direct
0.000 0.000 0.000
0.000 0.000 0.500
0.000 0.500 0.000
0.500 0.000 0.000
0.500 0.500 0.500
0.001 0.741 0.261
0.240 0.018 0.779
0.240 0.461 0.221
0.241 0.223 0.463
0.241 0.777 0.018
0.480 0.741 0.739
0.520 0.259 0.261
0.759 0.223 0.982
0.759 0.777 0.537
0.760 0.539 0.779
0.760 0.982 0.221
0.999 0.259 0.739
```

=====

2.
A plane-wave DFT calculation with GGA-PBE was carried out for a relaxed structure of CaCe2Co9.

Values from the calculation:
As for the symmetry: No. 166. The value obtained for the calculated formation energy is -0.096 eV per atom. For the total energy, the calculation gives -6.581 eV/atom. For the spin magnetization, the calculation gives 8.51 μB/f.u. The calculation puts the density of states at the Fermi level at 16.01 states/eV/cell.

```
CaCe2Co9
1.0
2.469 1.426 8.203
-2.469 1.426 8.203
0.000 -2.851 8.203
Ca Ce Co
1 2 9
Direct
0.000 0.000 0.000
0.138 0.138 0.138
0.862 0.862 0.862
0.082 0.580 0.580
0.333 0.333 0.333
0.420 0.420 0.918
0.420 0.918 0.420
0.500 0.500 0.500
0.580 0.082 0.580
0.580 0.580 0.082
0.667 0.667 0.667
0.918 0.420 0.420
```

=====

Q: Which value of spin magnetization does entry 2 give?
A: 8.51 μB/f.u.

=====

Q: What is the spin magnetization in the first record?
A: 6.00 μB/f.u.

=====

Q: spin magnetization of number 2 (CaCe2Co9)?
A: 8.51 μB/f.u.

=====

Q: The highest spin magnetization belongs to which entry?
A: CaCe2Co9